Material: VSbO2F
Method: DFT, GGA+U
State: relaxed

Cell lengths 3.8866, 3.8866, 4.1863 Å; angles 90.00, 90.00, 90.00 degrees
With the nearest neighbours (Å) after each atom.
Atoms (fractional coordinates):
Sb 0.5000 0.5000 0.5000  4 F 2.75, 8 O 2.86
F 0.0000 0.0000 0.5000  2 V 2.09
O 0.0000 0.5000 0.0000  2 V 1.94
O 0.5000 0.0000 0.0000  2 V 1.94
V 0.0000 0.0000 0.0000  4 O 1.94, 2 F 2.09

Summary:
The total energy comes out at -5.7822 eV per atom.